Entry from the Alexandria database: a relaxed structure of Ba2PbBr (PBE).

abc: 4.506 5.448 7.038
angles: 90.00 90.00 90.00
Fractional positions:
1 Ba 0.000 0.000 0.000
2 Ba 0.500 0.500 0.500
3 Pb 0.000 0.000 0.500
4 Br 0.500 0.500 0.000

The offset from the most stable computed form is 0.781 kcal/mol of atoms. The energy relative to the elements, uncorrected is -4.4 eV per formula unit. The electronic total energy is -3.3942 eV per atom.